# 1
Entry from Alexandria via LeMat-Bulk: crystalline CoCuW2 at its relaxed geometry (PBE).

SG ... Cmmm (65)
DFT total energy ... -9.035 eV per atom
Energy relative to the elements ... 0.242 eV/atom
Energy above the lowest structure with this stoichiometry ... 0.0536 eV/atom

Cell lengths 4.6496, 4.6496, 2.6823 Å; angles 90.00, 90.00, 109.72 degrees
Fractional coordinates of all 4 atoms:
Co1 0.0000 0.0000 0.0000
Cu1 0.5000 0.5000 0.0000
W1 0.0000 0.5000 0.5000
W2 0.5000 0.0000 0.5000


# 2
Entry from Alexandria via LeMat-Bulk: crystalline LiEuCdCu at its relaxed geometry (PBE).

SG ... F-43m (216)
DFT total energy ... -4.399 eV per atom
Energy relative to the elements ... -0.099 eV/atom

Cell lengths 4.9377, 4.9377, 4.9377 Å; angles 60.00, 60.00, 60.00 degrees
Fractional coordinates of all 4 atoms:
Li1 0.0000 0.0000 0.0000
Eu1 0.2500 0.2500 0.2500
Cd1 0.7500 0.7500 0.7500
Cu1 0.5000 0.5000 0.5000


# 3
Entry from Alexandria via LeMat-Bulk: crystalline BeRh2Se at its relaxed geometry (PBE).

SG ... Cm (8)
DFT total energy ... -5.647 eV per atom
Energy above the lowest structure with this stoichiometry ... 0.0360 eV/atom

Cell lengths 4.5541, 4.5541, 4.3695 Å; angles 103.47, 103.47, 38.62 degrees
Fractional coordinates of all 4 atoms:
Be1 0.0000 0.0000 0.0000
Rh1 0.2762 0.2762 0.9579
Rh2 0.5009 0.5009 0.5629
Se1 0.7607 0.7607 0.4074


# 4
Entry from Alexandria via LeMat-Bulk: crystalline TcSbCl2 at its relaxed geometry (PBE).

SG ... Fm-3m (225)
DFT total energy ... -3.878 eV per atom
Energy above the lowest structure with this stoichiometry ... 0.8911 eV/atom

Cell lengths 4.8946, 4.8946, 4.8946 Å; angles 60.00, 60.00, 60.00 degrees
Fractional coordinates of all 4 atoms:
Tc1 0.0000 0.0000 0.0000
Sb1 0.5000 0.5000 0.5000
Cl1 0.2500 0.2500 0.2500
Cl2 0.7500 0.7500 0.7500


# 5
Entry from Alexandria via LeMat-Bulk: crystalline LiAg4Pb at its relaxed geometry (PBE).

SG ... F-43m (216)
DFT total energy ... -2.861 eV per atom
Energy relative to the elements ... -0.023 eV/atom
Energy above the lowest structure with this stoichiometry ... 0.0085 eV/atom

Cell lengths 5.6020, 5.6020, 5.6020 Å; angles 60.00, 60.00, 60.00 degrees
Fractional coordinates of all 6 atoms:
Li1 0.0000 0.0000 0.0000
Ag1 0.3746 0.3746 0.3746
Ag2 0.3746 0.3746 0.8763
Ag3 0.3746 0.8763 0.3746
Ag4 0.8763 0.3746 0.3746
Pb1 0.7500 0.7500 0.7500


# 6
Entry from Alexandria via LeMat-Bulk: crystalline BaInSb2 at its relaxed geometry (PBE).

SG ... P4mm (99)
DFT total energy ... -3.566 eV per atom

Cell lengths 4.2324, 4.2324, 7.2991 Å; angles 90.00, 90.00, 90.00 degrees
Fractional coordinates of all 4 atoms:
Ba1 0.0000 0.0000 0.0000
In1 0.5000 0.5000 0.3022
Sb1 0.0000 0.0000 0.5149
Sb2 0.5000 0.5000 0.7026


# 7
Entry from Alexandria via LeMat-Bulk: crystalline RbTe2IN at its relaxed geometry (PBE).

SG ... P4/mmm (123)
DFT total energy ... -3.211 eV per atom
Energy above the lowest structure with this stoichiometry ... 0.0000 eV/atom

Cell lengths 4.6695, 4.6695, 8.9137 Å; angles 90.00, 90.00, 90.00 degrees
Fractional coordinates of all 5 atoms:
Rb1 0.0000 0.0000 0.0000
Te1 0.0000 0.5000 0.5000
Te2 0.5000 0.0000 0.5000
I1 0.5000 0.5000 0.0000
N1 0.5000 0.5000 0.5000


# 8
Entry from Alexandria via LeMat-Bulk: crystalline Y2HoSc2 at its relaxed geometry (PBE).

SG ... C2/c (15)
DFT total energy ... -5.932 eV per atom
Energy relative to the elements ... 0.101 eV/atom
Energy above the lowest structure with this stoichiometry ... 0.0000 eV/atom

Cell lengths 8.5648, 8.5648, 6.6255 Å; angles 105.30, 105.30, 38.63 degrees
Fractional coordinates of all 10 atoms:
Y1 0.1621 0.2317 0.0829
Y2 0.2317 0.1621 0.5829
Y3 0.7683 0.8379 0.4171
Y4 0.8379 0.7683 0.9171
Ho1 0.0741 0.9259 0.7500
Ho2 0.9259 0.0741 0.2500
Sc1 0.3453 0.4742 0.3274
Sc2 0.4742 0.3453 0.8274
Sc3 0.5258 0.6547 0.1726
Sc4 0.6547 0.5258 0.6726